# 1
## PRuSI2 (GGA-PBE)

Data for a relaxed structure of PRuSI2.

Its density of states at the Fermi level is 1.489 states/eV per cell. For the uncorrected formation energy, the calculation gives 1.04 eV/atom. For the magnetic moment, the calculation gives 3.03 μB per cell.

It has space group P4/mmm (No. 123), with a = 5.650 Å, b = 5.650 Å, c = 4.302 Å, α = 90.00°, β = 90.00° and γ = 90.00°. The inequivalent atoms are P at (0.000, 0.000, 0.000), Ru at (0.500, 0.500, 0.500), S at (0.000, 0.000, 0.500) and I at (0.000, 0.500, 0.000).

---

# 2
## PtAuF2 (GGA-PBE)

Data for a relaxed structure of PtAuF2.

Its density of states at the Fermi level is 4.618 states/eV per cell. For the uncorrected formation energy, the calculation gives -0.10 eV/atom. As for the distance to the lowest polymorph of the same formula: 532.0 meV per atom. For the magnetic moment, the calculation gives 3.59 μB per cell.

It has space group I-42d (No. 122), with a = 6.995 Å, b = 6.995 Å, c = 5.364 Å, α = 90.00°, β = 90.00° and γ = 90.00°. The inequivalent atoms are Pt at (0.000, 0.000, 0.000), Au at (0.000, 0.000, 0.500) and F at (0.161, 0.750, 0.125).

---

Question: What is the magnetic moment in the first record?
Answer: 3.03 μB per cell

---

Question: Which value of magnetic moment does entry 1 give?
Answer: 3.03 μB per cell

---

Question: magnetic moment of number 1 (PRuSI2)?
Answer: 3.03 μB per cell